A plane-wave DFT calculation with GGA-PBE was carried out for a geometry-optimized LaScHg2 structure.

The structure in POSCAR format:
```
LaScHg2
1.0
-4.5246 -1.4367 -1.3893
-2.0131 -4.4344 -0.8659
-3.0667 -1.5941 5.5854
Hg Sc La
2 1 1
direct
0.0116 0.0116 0.9448 Hg
0.4884 0.4884 0.5552 Hg
0.7500 0.7500 0.7500 Sc
0.2500 0.2500 0.2500 La
```

Summary:
- crystal system = monoclinic
- energy of formation from the pure elements (eV/atom) = -0.310
- Fermi-level density of states (states/eV/f.u.) = 4.77